(1)
{
  "formula": "LiTl2CdS4",
  "functional": "PBE-GGA",
  "state": "optimized geometry",
  "lattice": [[6.1304, 0.1249, 0.0000], [-0.3841, 6.1196, 0.0000], [-2.8731, -3.1222, 5.7152]],
  "species": ["Li", "Tl", "Tl", "Cd", "S", "S", "S", "S"],
  "fractional_positions": [[0.5019, 0.5019, 0.0037], [0.7539, 0.2539, 0.5078], [0.2539, 0.7539, 0.5078], [0.0023, 0.0023, 0.0047], [0.6251, 0.6251, 0.7634], [0.3670, 0.8579, 0.2249], [0.8579, 0.3670, 0.2249], [0.1383, 0.1383, 0.7634]],
  "rho_g_cm3": 5.1,
  "e_form_raw_ev_per_atom": -0.47,
  "total_magnetization_mub_per_atom": 0.00,
  "spacegroup": "Fmm2, No. 42"
}



(2)
{
  "formula": "Li2UCdS4",
  "functional": "PBE-GGA",
  "state": "optimized geometry",
  "lattice": [[3.8868, 0.0000, 0.0000], [0.0000, 6.5736, 0.0924], [0.0000, -2.3185, 6.2043]],
  "species": ["Li", "Li", "U", "Cd", "S", "S", "S", "S"],
  "fractional_positions": [[0.5000, 0.0000, 0.5000], [0.0000, 0.5000, 0.5000], [0.5000, 0.5000, 0.0000], [0.0000, 0.0000, 0.0000], [0.5000, 0.2523, 0.2479], [0.5000, 0.7477, 0.7521], [0.0000, 0.2579, 0.7414], [0.0000, 0.7421, 0.2586]],
  "rho_g_cm3": 5.1,
  "e_form_raw_ev_per_atom": -1.15,
  "total_magnetization_mub_per_atom": 0.25,
  "spacegroup": "P2/m, No. 10"
}



(3)
{
  "formula": "LiY2CdS",
  "functional": "PBE-GGA",
  "state": "optimized geometry",
  "lattice": [[5.3161, 0.0000, 0.0000], [0.0000, 5.3161, 0.0000], [0.0000, 0.0000, 4.3557]],
  "species": ["Y", "Y", "S", "Li", "Cd"],
  "fractional_positions": [[0.0000, 0.5000, 0.0000], [0.5000, 0.0000, 0.0000], [0.0000, 0.0000, 0.0000], [0.0000, 0.0000, 0.5000], [0.5000, 0.5000, 0.5000]],
  "rho_g_cm3": 4.4,
  "e_form_raw_ev_per_atom": -0.81,
  "total_magnetization_mub_per_atom": 0.00,
  "spacegroup": "P4/mmm, No. 123"
}



(4)
{
  "formula": "Li2ZrCdS4",
  "functional": "PBE-GGA",
  "state": "optimized geometry",
  "lattice": [[-2.9546, -1.8647, -1.3748], [-2.1827, -1.0119, 6.0630], [-3.9866, 4.9393, 1.8680]],
  "species": ["Li", "Li", "Zr", "Cd", "S", "S", "S", "S"],
  "fractional_positions": [[0.0000, 0.0000, 0.0000], [0.5000, 0.0000, 0.5000], [0.0000, 0.5000, 0.5000], [0.5000, 0.5000, 0.0000], [0.0000, 0.7412, 0.7387], [0.0000, 0.2588, 0.2613], [0.5000, 0.7512, 0.2691], [0.5000, 0.2488, 0.7309]],
  "rho_g_cm3": 3.8,
  "e_form_raw_ev_per_atom": -1.20,
  "total_magnetization_mub_per_atom": 0.00,
  "spacegroup": "P2/m, No. 10"
}



(5)
{
  "formula": "LiCd2Sb2",
  "functional": "PBE-GGA",
  "state": "optimized geometry",
  "lattice": [[4.7357, 0.0000, 0.0000], [0.0000, 4.7357, 0.0000], [2.3679, 2.3679, 6.4575]],
  "species": ["Sb", "Sb", "Li", "Cd", "Cd"],
  "fractional_positions": [[0.7500, 0.2500, 0.5000], [0.2500, 0.7500, 0.5000], [0.0000, 0.0000, 0.0000], [0.3953, 0.3953, 0.2095], [0.6047, 0.6047, 0.7905]],
  "rho_g_cm3": 5.4,
  "e_form_raw_ev_per_atom": 0.01,
  "total_magnetization_mub_per_atom": 0.00,
  "spacegroup": "I4/mmm, No. 139",
  "e_above_lowest_polymorph_ev_per_atom": 0.146
}



(6)
{
  "formula": "LiCdSb4",
  "functional": "PBE-GGA",
  "state": "optimized geometry",
  "lattice": [[0.0000, 4.4424, 4.4424], [4.4424, 0.0000, 4.4424], [4.4424, 4.4424, 0.0000]],
  "species": ["Li", "Cd", "Sb", "Sb", "Sb", "Sb"],
  "fractional_positions": [[0.0000, 0.0000, 0.0000], [0.7500, 0.7500, 0.7500], [0.8721, 0.3760, 0.3760], [0.3760, 0.3760, 0.8721], [0.3760, 0.8721, 0.3760], [0.3760, 0.3760, 0.3760]],
  "rho_g_cm3": 5.7,
  "e_form_raw_ev_per_atom": 0.10,
  "total_magnetization_mub_per_atom": 0.00,
  "spacegroup": "F-43m, No. 216"
}



Which formula does entry 5 have?
LiCd2Sb2



Repeat the fourth record exactly.
{
  "formula": "Li2ZrCdS4",
  "functional": "PBE-GGA",
  "state": "optimized geometry",
  "lattice": [[-2.9546, -1.8647, -1.3748], [-2.1827, -1.0119, 6.0630], [-3.9866, 4.9393, 1.8680]],
  "species": ["Li", "Li", "Zr", "Cd", "S", "S", "S", "S"],
  "fractional_positions": [[0.0000, 0.0000, 0.0000], [0.5000, 0.0000, 0.5000], [0.0000, 0.5000, 0.5000], [0.5000, 0.5000, 0.0000], [0.0000, 0.7412, 0.7387], [0.0000, 0.2588, 0.2613], [0.5000, 0.7512, 0.2691], [0.5000, 0.2488, 0.7309]],
  "rho_g_cm3": 3.8,
  "e_form_raw_ev_per_atom": -1.20,
  "total_magnetization_mub_per_atom": 0.00,
  "spacegroup": "P2/m, No. 10"
}